A plane-wave DFT calculation with PBE was carried out for Sm2Y5Er2 after structural relaxation.

DFT formation energy = 0.83 eV/f.u.
E above lowest polymorph = 0.000 eV per atom

Cell lengths 3.6282, 14.6225, 13.9197 Å; angles 26.69, 66.98, 75.64 degrees
Last column: nearest neighbours and their distance in Å.
Fractional coordinates of all 9 atoms:
Sm: 0.6757 0.1826 0.4287  5 Y 3.39-3.63, 2 Er 3.45, 2 Sm 3.63
Er: 0.2327 0.0985 0.1119  7 Y 3.30-3.65, 2 Sm 3.45, 2 Er 3.63
Sm: 0.3243 0.8174 0.5713  5 Y 3.39-3.63, 2 Er 3.45, 2 Sm 3.63
Y: 0.6041 0.3672 0.0195  4 Y 3.32-3.63, 2 Er 3.33-3.34, 5 Sm 3.39-3.63
Y: 0.0000 0.0000 0.0000  4 Er 3.30, 2 Y 3.63
Er: 0.7673 0.9015 0.8881  7 Y 3.30-3.65, 2 Sm 3.45, 2 Er 3.63
Y: 0.3959 0.6328 0.9805  4 Y 3.32-3.63, 2 Er 3.33-3.34, 5 Sm 3.39-3.63
Y: 0.9113 0.4362 0.4353  3 Er 3.54-3.65, 8 Y 3.57-3.91
Y: 0.0887 0.5638 0.5647  3 Er 3.54-3.65, 8 Y 3.57-3.91



A plane-wave DFT calculation with PBE was carried out for GeP2Ir after structural relaxation.

DFT formation energy = -0.72 eV/f.u.
E above lowest polymorph = 0.000 eV per atom

Cell lengths 5.3690, 5.3690, 6.6231 Å; angles 66.09, 66.09, 90.00 degrees
Last column: nearest neighbours and their distance in Å.
Fractional coordinates of all 8 atoms:
P: 0.3750 0.3550 0.7500  2 Ir 2.27, 2 Ge 2.40
P: 0.1050 0.6250 0.2500  2 Ir 2.27, 2 Ge 2.40
P: 0.6450 0.1250 0.2500  2 Ir 2.27, 2 Ge 2.40
Ge: 0.5000 0.5000 0.0000  4 P 2.40
Ge: 0.2500 0.7500 0.5000  4 P 2.40
Ir: 0.7500 0.2500 0.5000  4 P 2.27
P: 0.8750 0.8950 0.7500  2 Ir 2.27, 2 Ge 2.40
Ir: 0.0000 0.0000 0.0000  4 P 2.27



A plane-wave DFT calculation with PBE was carried out for LaY2Sb after structural relaxation.

formation energy (no corrections) = -369.4 meV per atom

Cell lengths 10.0565, 10.0565, 10.0565 Å; angles 23.06, 23.06, 23.06 degrees
Last column: nearest neighbours and their distance in Å.
Fractional coordinates of all 4 atoms:
Sb: 0.7500 0.7500 0.7500  6 Y 3.01
La: 0.2500 0.2500 0.2500  6 Y 3.77, 6 La 4.02
Y: 0.4819 0.4819 0.4819  3 Sb 3.01
Y: 0.0181 0.0181 0.0181  3 Sb 3.01



A plane-wave DFT calculation with PBE was carried out for Mg2ZrTaN4 after structural relaxation.

formation energy (no corrections) = -1201.5 meV per atom

Cell lengths 3.1445, 5.4583, 5.4815 Å; angles 109.29, 90.00, 90.00 degrees
Last column: nearest neighbours and their distance in Å.
Fractional coordinates of all 8 atoms:
Ta: 0.0000 0.0000 0.0000  6 N 2.16-2.18
Mg: 0.0000 0.5000 0.5000  6 N 2.28-2.30
Zr: 0.5000 0.5000 0.0000  6 N 2.23-2.24
N: 0.5000 0.7620 0.7590  2 Ta 2.18, 3 Mg 2.22-2.28, 1 Zr 2.24
Mg: 0.5000 0.0000 0.5000  6 N 2.22-2.23
N: 0.0000 0.2418 0.7572  1 Ta 2.16, 3 Mg 2.23-2.30, 2 Zr 2.23
N: 0.0000 0.7582 0.2428  1 Ta 2.16, 3 Mg 2.23-2.30, 2 Zr 2.23
N: 0.5000 0.2380 0.2410  2 Ta 2.18, 3 Mg 2.22-2.28, 1 Zr 2.24



A plane-wave DFT calculation with PBE was carried out for CePm after structural relaxation.

DFT formation energy = 1.41 eV/f.u.
E above lowest polymorph = 0.610 eV per atom

Cell lengths 4.5040, 4.5040, 4.5040 Å; angles 60.00, 60.00, 60.00 degrees
Last column: nearest neighbours and their distance in Å.
Fractional coordinates of all 2 atoms:
Pm: 0.5000 0.5000 0.5000  6 Ce 3.18
Ce: 0.0000 0.0000 0.0000  6 Pm 3.18



A plane-wave DFT calculation with PBE was carried out for TbEuAg2 after structural relaxation.

DFT formation energy = -1.06 eV/f.u.
E above lowest polymorph = 0.035 eV per atom

Cell lengths 5.2581, 5.2581, 5.2581 Å; angles 60.00, 60.00, 60.00 degrees
Last column: nearest neighbours and their distance in Å.
Fractional coordinates of all 4 atoms:
Eu: 0.0000 0.0000 0.0000  8 Ag 3.22
Tb: 0.5000 0.5000 0.5000  8 Ag 3.22
Ag: 0.7500 0.7500 0.7500  4 Tb 3.22, 4 Eu 3.22
Ag: 0.2500 0.2500 0.2500  4 Tb 3.22, 4 Eu 3.22



A plane-wave DFT calculation with PBE was carried out for Co2NiBr after structural relaxation.

E above lowest polymorph = 0.074 eV per atom
formation energy (no corrections) = 475.3 meV per atom

Cell lengths 3.8919, 3.8919, 6.1885 Å; angles 80.06, 80.06, 48.58 degrees
Last column: nearest neighbours and their distance in Å.
Fractional coordinates of all 4 atoms:
Ni: 0.4319 0.4319 0.5994  3 Co 2.31-2.36, 1 Br 2.37
Co: 0.9783 0.9783 0.9150  3 Co 2.34-2.35, 2 Br 2.51, 2 Ni 2.59
Br: 0.3871 0.3871 0.2291  1 Ni 2.37, 2 Co 2.51
Co: 0.7027 0.7027 0.7565  3 Ni 2.31-2.36, 3 Co 2.34-2.35



A plane-wave DFT calculation with PBE was carried out for AcTbHf after structural relaxation.

DFT formation energy = 0.36 eV/f.u.

Cell lengths 3.8418, 3.8418, 13.3596 Å; angles 90.00, 90.00, 90.00 degrees
Last column: nearest neighbours and their distance in Å.
Fractional coordinates of all 6 atoms:
Hf: 0.0000 0.5000 0.9518  4 Hf 3.01, 5 Tb 3.19-3.32
Tb: 0.0000 0.5000 0.1906  5 Hf 3.19-3.32
Tb: 0.5000 0.0000 0.8094  5 Hf 3.19-3.32
Ac: 0.5000 0.0000 0.3916  4 Tb 3.82, 8 Ac 3.84-3.97
Hf: 0.5000 0.0000 0.0482  4 Hf 3.01, 5 Tb 3.19-3.32
Ac: 0.0000 0.5000 0.6084  4 Tb 3.82, 8 Ac 3.84-3.97



Raw total energy list, top to bottom, in eV per atom: -5.56; -6.25; -5.86; -8.31; -4.64; -5.42; -4.94; -6.11